CrCdP2 | Alexandria | SCAN | single point on PBEsol structure; electronic total energy = -17.38 eV/atom; crystal system = orthorhombic; energy of formation = 22 meV/atom
1.0
2.8824 0.0000 0.0000
0.0000 3.6256 0.0000
0.0000 0.0000 6.6485
Cr Cd P
1 1 2
direct
0.0000 0.0000 0.0000
0.5000 0.5000 0.5432
0.0000 0.0000 0.3331
0.5000 0.5000 0.9261